[1]
## LiSmPt (PBE)

Data for an optimized crystal structure of LiSmPt.

Cell: 4.684 4.684 4.684 Å, 60.00 60.00 60.00°
Atoms (fractional coordinates):
Sm 0.000 0.000 0.000
Pt 0.250 0.250 0.250
Li 0.500 0.500 0.500

Computed properties:
energy	-4.899	eV per atom
density of states at the Fermi level	0.71	states/eV per cell

[2]
## Pa2TcGeC (PBE)

Data for an optimized crystal structure of Pa2TcGeC.

Cell: 3.651 6.368 8.446 Å, 102.25 90.00 90.00°
Atoms (fractional coordinates):
Pa 0.750 0.764 0.643
Pa 0.750 0.784 0.061
Pa 0.250 0.236 0.357
Pa 0.250 0.216 0.939
Tc 0.250 0.505 0.775
Tc 0.750 0.495 0.225
Ge 0.250 0.761 0.361
Ge 0.750 0.239 0.639
C 0.250 0.843 0.866
C 0.750 0.157 0.134

Computed properties:
energy	-9.030	eV per atom
density of states at the Fermi level	7.60	states/eV per cell

- Among the records above, which one has the lowest density of states at the Fermi level?
  LiSmPt